! PBE K2UBiO6, relaxed; values from VASP
&SYSTEM
  ibrav = 0, nat = 20, ntyp = 4
/
ATOMIC_SPECIES
K 39.10 K.upf
U 238.03 U.upf
Bi 208.98 Bi.upf
O 16.00 O.upf
CELL_PARAMETERS angstrom
6.1140 0.0000 0.0000
0.0000 6.1144 0.0000
0.0034 0.0020 8.7145
ATOMIC_POSITIONS crystal
K 0.0007 0.9999 0.2536
K 0.4994 0.4997 0.7464
K 0.5006 0.5003 0.2536
K 0.9993 0.0001 0.7464
U 0.0000 0.5000 0.0000
U 0.5000 0.0000 0.5000
Bi 0.0000 0.5000 0.5000
Bi 0.5000 0.0000 0.0000
O 0.0004 0.4934 0.7440
O 0.9996 0.5066 0.2560
O 0.1967 0.7674 0.9972
O 0.2499 0.2443 0.4966
O 0.2558 0.7499 0.5032
O 0.2674 0.3033 0.0028
O 0.4999 0.0060 0.7289
O 0.5001 0.9940 0.2711
O 0.7326 0.6967 0.9972
O 0.7442 0.2501 0.4968
O 0.7501 0.7557 0.5034
O 0.8033 0.2326 0.0028
! Total DFT energy (no corrections), eV per atom: -6.8797
! Density, g cm⁻³: 6.33
! Crystal system: triclinic
! Formation energy (no corrections), meV/atom: -2168
! Total magnetic moment, μB/cell: 0.00